(1)
# Sr2CaNi

Crystalline Sr2CaNi at its relaxed geometry (PBE-GGA, Alexandria).

Cell lengths 13.645, 3.843, 6.063 Å; angles 90.00, 116.26, 90.00 degrees
Space group Cm (No. 8)
Asymmetric unit:
Sr: 0.000 0.000 0.000 x2
Sr: 0.180 0.000 0.680 x2
Ca: 0.327 0.500 0.328 x2
Ni: 0.493 0.000 0.503 x2

Calculated volume in Å³ per atom: 35.6
Formation enthalpy at 0 K in eV per atom: 0.082
Polymorph energy (0 for the lowest one) in meV/atom: 16
D(E_F) in states/eV per cell: 7.6
Magnetization in μB per formula unit: 0.0
Electronic total energy in eV/atom: -2.70

***

(2)
# SrCa2Ni

Crystalline SrCa2Ni at its relaxed geometry (PBE-GGA, Alexandria).

Cell lengths 4.0863, 4.0863, 29.9194 Å; angles 90.00, 90.00, 120.00 degrees
Space group R-3m (No. 166, hexagonal axes)
Asymmetric unit:
Sr: 0.0000 0.0000 0.0000 x3
Ca: 0.0000 0.0000 0.2175 x6
Ni: 0.0000 0.0000 0.5000 x3

Calculated volume in Å³ per atom: 36.1
Formation enthalpy at 0 K in eV per atom: 0.037
Polymorph energy (0 for the lowest one) in meV/atom: 105
D(E_F) in states/eV per cell: 6.8
Magnetization in μB per formula unit: 0.0
Electronic total energy in eV/atom: -2.83

***

(3)
# Sr2CaNi

Crystalline Sr2CaNi at its relaxed geometry (PBE-GGA, Alexandria).

Cell lengths 5.315, 5.315, 4.782 Å; angles 90.00, 90.00, 90.00 degrees
Space group P4/mmm (No. 123)
Asymmetric unit:
Sr: 0.000 0.500 0.000 x2
Ca: 0.000 0.000 0.500 x1
Ni: 0.500 0.500 0.500 x1

Calculated volume in Å³ per atom: 33.8
Formation enthalpy at 0 K in eV per atom: 0.320
Polymorph energy (0 for the lowest one) in meV/atom: 254
D(E_F) in states/eV per cell: 4.4
Magnetization in μB per formula unit: 0.0
Electronic total energy in eV/atom: -2.47